Density functional theory data (PBEsol) for a relaxed structure of Li2SnPt.

a = 6.2734 Å, b = 6.2734 Å, c = 6.2734 Å
α = 90.00°, β = 90.00°, γ = 90.00°
With the nearest neighbours (Å) after each atom.
Space group F-43m (No. 216)
Inequivalent atoms, fractional coordinates:
Li 0.0000 0.0000 0.0000 (multiplicity 4)  4 Pt 2.72, 4 Li 2.72
Li 0.2500 0.2500 0.2500 (multiplicity 4)  4 Sn 2.72, 4 Li 2.72
Sn 0.0000 0.0000 0.5000 (multiplicity 4)  4 Li 2.72, 4 Pt 2.72
Pt 0.2500 0.2500 0.7500 (multiplicity 4)  4 Sn 2.72, 4 Li 2.72

Computed properties:
For the formation energy, the calculation gives -0.6554 eV per atom.